Density functional theory data (PBE with a Hubbard U) for a relaxed structure of CoPdPt2O6.

Properties
- spin magnetization (μB per atom) = 0.3000
- DFT total energy (eV per atom) = -5.842

```
CoPdPt2O6
1.0
3.534 -4.982 0.000
3.534 4.982 0.000
0.000 0.000 3.183
Co Pd Pt O
1 1 2 6
direct
0.000 0.000 0.000
0.500 0.500 0.000
0.000 0.500 0.500
0.500 0.000 0.500
0.147 0.853 0.500
0.158 0.411 0.000
0.411 0.158 0.000
0.589 0.842 0.000
0.842 0.589 0.000
0.853 0.147 0.500
```